# Tl6V7P5O31, optimized geometry, DFT GGA+U
# **Crystal system**: orthorhombic
# **E_tot**: -679.6 eV for the cell shown
data_Tl6V7P5O31
_chemical_formula_sum 'Tl12 V14 P10 O62'
_space_group_name_H-M_alt 'P m n 21'
_space_group_IT_number 31
_space_group_name_Hall 'P 2ac -2'
_cell_length_a 13.6511
_cell_length_b 7.2313
_cell_length_c 14.7870
_cell_angle_alpha 90.00
_cell_angle_beta 90.00
_cell_angle_gamma 90.00
loop_
_atom_site_label
_atom_site_type_symbol
_atom_site_fract_x
_atom_site_fract_y
_atom_site_fract_z
Tl1 Tl 0.0000 0.1014 0.0000
Tl2 Tl 0.0000 0.6595 0.4843
Tl3 Tl 0.2324 0.1451 0.8386
Tl4 Tl 0.2440 0.3319 0.1579
V1 V 0.0000 0.0142 0.2589
V2 V 0.0000 0.4940 0.7405
V3 V 0.0000 0.5123 0.2455
V4 V 0.1244 0.1010 0.5788
V5 V 0.1279 0.5870 0.9281
P1 P 0.0000 0.9157 0.7380
P2 P 0.1492 0.2886 0.3834
P3 P 0.1498 0.7860 0.1216
O1 O 0.0000 0.0378 0.5474
O2 O 0.0000 0.2890 0.2072
O3 O 0.0000 0.3484 0.6534
O4 O 0.0000 0.5445 0.9535
O5 O 0.0000 0.7227 0.6842
O6 O 0.0000 0.7908 0.2970
O7 O 0.0000 0.8811 0.8391
O8 O 0.0951 0.0155 0.7059
O9 O 0.1043 0.6108 0.1642
O10 O 0.1054 0.4663 0.3402
O11 O 0.1060 0.1121 0.3397
O12 O 0.1061 0.4759 0.8059
O13 O 0.1057 0.9655 0.1629
O14 O 0.1294 0.2971 0.4867
O15 O 0.1311 0.7930 0.0178
O16 O 0.1841 0.4151 0.9794
O17 O 0.1841 0.9258 0.5337
O18 O 0.2383 0.2259 0.6413
O19 O 0.2381 0.7193 0.8659